1.
Computed, not measured: a relaxed structure of MgTcRh2 at the PBE-GGA level of DFT.

abc: 2.772 4.057 5.298
angles: 90.00 90.00 90.00
Space group Pmm2 (No. 25)
Asymmetric unit:
Mg (0.000, 0.000, 0.000) [1 per cell]
Tc (0.500, 0.500, 0.701) [1 per cell]
Rh (0.000, 0.000, 0.504) [1 per cell]
Rh (0.500, 0.500, 0.201) [1 per cell]

## Properties
E_form = -0.07 eV/atom
Mass density = 9.1 g cm⁻³

2.
Computed, not measured: a relaxed structure of MgTc2Rh2 at the PBE-GGA level of DFT.

abc: 7.600 7.600 2.732
angles: 90.00 90.00 90.00
Space group P4/mbm (No. 127)
Asymmetric unit:
Mg (0.000, 0.000, 0.000) [2 per cell]
Tc (0.173, 0.327, 0.500) [4 per cell]
Rh (0.123, 0.623, 0.000) [4 per cell]

## Properties
E_form = 0.06 eV/atom
Mass density = 9.0 g cm⁻³
Excess energy over the best structure of this formula in the dataset = 33.6 meV per atom

3.
Computed, not measured: a relaxed structure of MgTcRh2 at the PBE-GGA level of DFT.

abc: 2.814 2.814 7.470
angles: 90.00 90.00 90.00
Space group P4/mmm (No. 123)
Asymmetric unit:
Mg (0.000, 0.000, 0.000) [1 per cell]
Tc (0.000, 0.000, 0.500) [1 per cell]
Rh (0.500, 0.500, 0.260) [2 per cell]

## Properties
E_form = -0.27 eV/atom
Mass density = 9.2 g cm⁻³

4.
Computed, not measured: a relaxed structure of MgTcRh at the PBE-GGA level of DFT.

abc: 4.133 11.241 4.054
angles: 90.00 90.00 90.00
Space group Cmcm (No. 63)
Asymmetric unit:
Mg (0.000, 0.248, 0.250) [4 per cell]
Tc (0.000, 0.438, 0.750) [4 per cell]
Rh (0.000, 0.080, 0.750) [4 per cell]

## Properties
E_form = -0.11 eV/atom
Mass density = 7.9 g cm⁻³
Excess energy over the best structure of this formula in the dataset = 64.9 meV per atom

5.
Computed, not measured: a relaxed structure of MgTcRh2 at the PBE-GGA level of DFT.

abc: 9.265 2.789 4.685
angles: 90.00 101.42 90.00
Space group Cm (No. 8)
Asymmetric unit:
Mg (0.000, 0.000, 0.000) [2 per cell]
Tc (0.268, 0.500, 0.335) [2 per cell]
Rh (0.011, 0.500, 0.499) [2 per cell]
Rh (0.250, 0.000, 0.835) [2 per cell]

## Properties
E_form = -0.16 eV/atom
Mass density = 9.2 g cm⁻³

6.
Computed, not measured: a relaxed structure of MgTc2Rh at the PBE-GGA level of DFT.

abc: 9.673 2.783 4.568
angles: 90.00 102.05 90.00
Space group C2/m (No. 12)
Asymmetric unit:
Mg (0.000, 0.000, 0.000) [2 per cell]
Tc (0.236, 0.000, 0.740) [4 per cell]
Rh (0.000, 0.500, 0.500) [2 per cell]

## Properties
E_form = 0.00 eV/atom
Mass density = 8.9 g cm⁻³

7.
Computed, not measured: a relaxed structure of MgTcRh2 at the PBE-GGA level of DFT.

abc: 2.790 3.763 5.640
angles: 90.00 90.00 90.00
Space group Pmmm (No. 47)
Asymmetric unit:
Mg (0.000, 0.000, 0.000) [1 per cell]
Tc (0.000, 0.000, 0.500) [1 per cell]
Rh (0.500, 0.500, 0.260) [2 per cell]

## Properties
E_form = -0.17 eV/atom
Mass density = 9.2 g cm⁻³

8.
Computed, not measured: a relaxed structure of Mg2TcRh at the PBE-GGA level of DFT.

abc: 2.775 2.775 8.197
angles: 90.00 90.00 90.00
Space group P4/mmm (No. 123)
Asymmetric unit:
Mg (0.000, 0.000, 0.232) [2 per cell]
Tc (0.500, 0.500, 0.500) [1 per cell]
Rh (0.500, 0.500, 0.000) [1 per cell]

## Properties
E_form = 0.00 eV/atom
Mass density = 6.6 g cm⁻³
Excess energy over the best structure of this formula in the dataset = 97.7 meV per atom

9.
Computed, not measured: a relaxed structure of MgTc3Rh at the PBE-GGA level of DFT.

abc: 4.683 4.683 4.683
angles: 90.00 90.00 90.00
Space group Pm-3m (No. 221)
Asymmetric unit:
Mg (0.000, 0.000, 0.000) [1 per cell]
Tc (0.000, 0.500, 0.500) [3 per cell]
Rh (0.500, 0.500, 0.500) [1 per cell]

## Properties
E_form = 1.59 eV/atom
Mass density = 6.8 g cm⁻³
Excess energy over the best structure of this formula in the dataset = 0.0 meV per atom

10.
Computed, not measured: a relaxed structure of MgTcRh2 at the PBE-GGA level of DFT.

abc: 2.749 2.749 7.954
angles: 90.00 90.00 90.00
Space group P4mm (No. 99)
Asymmetric unit:
Mg (0.000, 0.000, 0.000) [1 per cell]
Tc (0.500, 0.500, 0.723) [1 per cell]
Rh (0.000, 0.000, 0.492) [1 per cell]
Rh (0.500, 0.500, 0.246) [1 per cell]

## Properties
E_form = -0.01 eV/atom
Mass density = 9.1 g cm⁻³

11.
Computed, not measured: a relaxed structure of MgTcRh at the PBE-GGA level of DFT.

abc: 4.784 2.858 7.301
angles: 90.00 108.69 90.00
Space group Pm (No. 6)
Asymmetric unit:
Mg (0.000, 0.000, 0.000) [1 per cell]
Mg (0.369, 0.000, 0.718) [1 per cell]
Tc (0.391, 0.500, 0.356) [1 per cell]
Tc (0.533, 0.500, 0.085) [1 per cell]
Rh (0.841, 0.500, 0.667) [1 per cell]
Rh (0.926, 0.000, 0.362) [1 per cell]

## Properties
E_form = -0.03 eV/atom
Mass density = 7.9 g cm⁻³
Excess energy over the best structure of this formula in the dataset = 138.5 meV per atom

12.
Computed, not measured: a relaxed structure of Mg2TcRh at the PBE-GGA level of DFT.

abc: 5.484 8.416 2.753
angles: 90.00 90.00 90.00
Space group Cmmm (No. 65)
Asymmetric unit:
Mg (0.250, 0.250, 0.000) [4 per cell]
Tc (0.000, 0.000, 0.500) [2 per cell]
Rh (0.000, 0.500, 0.500) [2 per cell]

## Properties
E_form = 0.07 eV/atom
Mass density = 6.5 g cm⁻³
Excess energy over the best structure of this formula in the dataset = 168.8 meV per atom

Number 1: E -6.737 eV/atom. Number 2: E -7.346 eV/atom. Number 3: E -6.934 eV/atom. Number 4: E -6.545 eV/atom. Number 5: E -6.821 eV/atom. Number 6: E -7.418 eV/atom. Number 7: E -6.836 eV/atom. Number 8: E -5.229 eV/atom. Number 9: E -6.420 eV/atom. Number 10: E -6.673 eV/atom. Number 11: E -6.472 eV/atom. Number 12: E -5.158 eV/atom.